Record 1
VASP calculation (GGA-PBE) on a relaxed structure of BaThSe3.

Properties
- total moment (μB per atom) = 0.00
- energy relative to the lowest polymorph listed for this composition (meV per atom) = 0
- crystal system = orthorhombic

a b c (Å): 8.0665 4.5080 17.2454
angles (deg): 90.00 90.00 90.00
Sites, in units of the cell vectors:
Ba (0.1338, 0.2500, 0.2017)
Ba (0.3662, 0.7500, 0.7017)
Ba (0.6338, 0.2500, 0.2983)
Ba (0.8662, 0.7500, 0.7983)
Th (0.2356, 0.7500, 0.4571)
Th (0.2644, 0.2500, 0.9571)
Th (0.7356, 0.7500, 0.0429)
Th (0.7644, 0.2500, 0.5429)
Se (0.0130, 0.2500, 0.4078)
Se (0.1281, 0.7500, 0.0497)
Se (0.1663, 0.2500, 0.7966)
Se (0.3337, 0.7500, 0.2966)
Se (0.3719, 0.2500, 0.5497)
Se (0.4870, 0.7500, 0.9078)
Se (0.5130, 0.2500, 0.0922)
Se (0.6281, 0.7500, 0.4503)
Se (0.6663, 0.2500, 0.7034)
Se (0.8337, 0.7500, 0.2034)
Se (0.8719, 0.2500, 0.9503)
Se (0.9870, 0.7500, 0.5922)

Record 2
VASP calculation (GGA-PBE) on a relaxed structure of BaTh4Se8.

Properties
- total moment (μB per atom) = 0.00
- crystal system = cubic
- DFT total energy (eV per atom) = -6.23

a b c (Å): 8.8350 8.8350 8.8350
angles (deg): 60.00 60.00 60.00
Sites, in units of the cell vectors:
Ba (0.0000, 0.0000, 0.0000)
Th (0.3788, 0.3788, 0.3788)
Th (0.3788, 0.3788, 0.8635)
Th (0.3788, 0.8635, 0.3788)
Th (0.8635, 0.3788, 0.3788)
Se (0.1427, 0.1427, 0.1427)
Se (0.1427, 0.1427, 0.5720)
Se (0.1427, 0.5720, 0.1427)
Se (0.1615, 0.6128, 0.6128)
Se (0.5720, 0.1427, 0.1427)
Se (0.6128, 0.1615, 0.6128)
Se (0.6128, 0.6128, 0.1615)
Se (0.6128, 0.6128, 0.6128)

Record 3
VASP calculation (GGA-PBE) on a relaxed structure of BaThSe4.

Properties
- total moment (μB per atom) = 0.00
- energy relative to the lowest polymorph listed for this composition (meV per atom) = 0
- crystal system = monoclinic

a b c (Å): 8.5109 8.5109 7.9630
angles (deg): 100.09 100.09 51.70
Sites, in units of the cell vectors:
Ba (0.1925, 0.1925, 0.1268)
Ba (0.8075, 0.8075, 0.8732)
Th (0.4591, 0.4591, 0.7387)
Th (0.5409, 0.5409, 0.2613)
Se (0.2168, 0.5421, 0.3858)
Se (0.2300, 0.7700, 0.0000)
Se (0.2850, 0.2850, 0.8058)
Se (0.4579, 0.7832, 0.6142)
Se (0.5421, 0.2168, 0.3858)
Se (0.7150, 0.7150, 0.1942)
Se (0.7700, 0.2300, 0.0000)
Se (0.7832, 0.4579, 0.6142)

Record 4
VASP calculation (GGA-PBE) on a relaxed structure of Ba2Th3Se8.

Properties
- total moment (μB per atom) = 0.00
- energy relative to the lowest polymorph listed for this composition (meV per atom) = 76
- crystal system = monoclinic

a b c (Å): 9.5263 4.9577 9.5514
angles (deg): 90.00 111.32 90.00
Sites, in units of the cell vectors:
Ba (0.2374, 0.0000, 0.2623)
Ba (0.7626, 0.0000, 0.7377)
Th (0.2120, 0.5000, 0.7112)
Th (0.5000, 0.0000, 0.0000)
Th (0.7880, 0.5000, 0.2888)
Se (0.1120, 0.5000, 0.3881)
Se (0.1552, 0.0000, 0.8732)
Se (0.3733, 0.0000, 0.6548)
Se (0.3943, 0.5000, 0.1070)
Se (0.6057, 0.5000, 0.8930)
Se (0.6267, 0.0000, 0.3452)
Se (0.8448, 0.0000, 0.1268)
Se (0.8880, 0.5000, 0.6119)

Record 5
VASP calculation (GGA-PBE) on a relaxed structure of Ba2Th3Se8.

Properties
- total moment (μB per atom) = 0.00
- energy relative to the lowest polymorph listed for this composition (meV per atom) = 0
- crystal system = monoclinic

a b c (Å): 8.9960 8.9960 7.4632
angles (deg): 107.13 107.13 58.88
Sites, in units of the cell vectors:
Ba (0.2281, 0.2281, 0.1579)
Ba (0.7719, 0.7719, 0.8421)
Th (0.2403, 0.7597, 0.5000)
Th (0.5000, 0.5000, 0.0000)
Th (0.7597, 0.2403, 0.5000)
Se (0.1134, 0.1134, 0.4549)
Se (0.1652, 0.6124, 0.1016)
Se (0.3876, 0.8348, 0.8984)
Se (0.3957, 0.3957, 0.5906)
Se (0.6043, 0.6043, 0.4094)
Se (0.6124, 0.1652, 0.1016)
Se (0.8348, 0.3876, 0.8984)
Se (0.8866, 0.8866, 0.5451)

Record 6
VASP calculation (GGA-PBE) on a relaxed structure of BaThSe3.

Properties
- total moment (μB per atom) = 0.00
- energy relative to the lowest polymorph listed for this composition (meV per atom) = 95
- crystal system = monoclinic

a b c (Å): 8.3505 8.3505 8.8750
angles (deg): 95.76 95.76 37.83
Sites, in units of the cell vectors:
Ba (0.1376, 0.1376, 0.3715)
Ba (0.8624, 0.8624, 0.6285)
Th (0.3706, 0.3706, 0.0853)
Th (0.6294, 0.6294, 0.9147)
Se (0.1764, 0.1764, 0.0008)
Se (0.3391, 0.3391, 0.3937)
Se (0.4511, 0.4511, 0.8016)
Se (0.5489, 0.5489, 0.1984)
Se (0.6609, 0.6609, 0.6063)
Se (0.8236, 0.8236, 0.9992)

Record 7
VASP calculation (GGA-PBE) on a relaxed structure of BaThSe3.

Properties
- total moment (μB per atom) = 0.00
- energy relative to the lowest polymorph listed for this composition (meV per atom) = 153
- crystal system = cubic

a b c (Å): 5.6646 5.6646 5.6646
angles (deg): 90.00 90.00 90.00
Sites, in units of the cell vectors:
Ba (0.0000, 0.0000, 0.0000)
Th (0.5000, 0.5000, 0.5000)
Se (0.0000, 0.5000, 0.5000)
Se (0.5000, 0.0000, 0.5000)
Se (0.5000, 0.5000, 0.0000)

Record 8
VASP calculation (GGA-PBE) on a relaxed structure of BaThSe4.

Properties
- total moment (μB per atom) = 0.00
- energy relative to the lowest polymorph listed for this composition (meV per atom) = 17
- crystal system = tetragonal

a b c (Å): 4.8364 4.8364 8.2237
angles (deg): 90.00 90.00 90.00
Sites, in units of the cell vectors:
Ba (0.0000, 0.0000, 0.0000)
Th (0.5000, 0.5000, 0.5000)
Se (0.0000, 0.5000, 0.2807)
Se (0.0000, 0.5000, 0.7193)
Se (0.5000, 0.0000, 0.2807)
Se (0.5000, 0.0000, 0.7193)